[1]
# Lu6Te2Au

Crystalline Lu6Te2Au at its relaxed geometry (PBE, OQMD via LeMat-Bulk). Values from VASP.

## Properties
- M_tot: 0.41 μB per cell
- E_tot: -174.39 eV/cell

Structure (Quantum ESPRESSO input):
```
&SYSTEM
  ibrav = 0, nat = 36, ntyp = 3
/
ATOMIC_SPECIES
Lu 174.97 Lu.upf
Te 127.60 Te.upf
Au 196.97 Au.upf
CELL_PARAMETERS angstrom
-3.6560 -16.7745 12.4655
3.8782 -0.1346 0.9563
-1.9190 6.9259 8.7572
ATOMIC_POSITIONS angstrom
Lu -2.5389 -2.1405 14.1710
Lu -0.3572 -11.3137 12.3834
Lu 0.4704 3.9697 11.1783
Lu -2.1672 -13.9529 11.0006
Lu -1.6786 -6.2352 10.1056
Lu 1.1944 2.8268 8.0812
Lu -1.4878 -10.3380 8.7542
Lu 1.4315 -2.7847 6.3299
Lu -0.2090 0.3548 13.4248
Lu -0.5135 -7.4641 13.5589
Lu -2.8912 -12.8100 14.0978
Lu 0.8422 -7.8426 8.0080
Lu -3.8319 -12.4587 17.9622
Lu -0.8788 -4.6753 15.4330
Lu 0.6413 0.3767 1.6281
Lu 2.1351 2.4756 4.2168
Lu -1.3396 1.3306 9.7956
Lu -1.3143 -10.6408 16.3594
Lu -0.0182 -3.7480 12.0734
Lu -3.1283 -7.1984 15.8491
Lu -2.3381 -10.3598 20.5509
Lu -0.8180 -5.3078 6.7460
Lu -0.3825 0.6576 5.8196
Lu -1.1833 -2.5190 8.6201
Te -1.6204 -5.8374 18.2769
Te 0.9995 -0.3082 8.4304
Te -3.7002 -9.3715 17.8624
Te 0.1047 -8.7437 10.8720
Te 2.0034 -0.6117 4.3165
Te -0.0764 -4.1458 3.9020
Te -2.6963 -9.6749 13.7485
Te -1.8014 -1.2395 11.3070
Au -0.9728 4.7103 8.7840
Au 0.6507 -4.6701 9.2309
Au -2.3475 -5.3130 12.9481
Au -0.7240 -14.6934 13.3950
```


[2]
# Cu3Ag

Crystalline Cu3Ag at its relaxed geometry (PBE, OQMD via LeMat-Bulk). Values from VASP.

## Properties
- E_form: 0.10 eV/atom

Structure (Quantum ESPRESSO input):
```
&SYSTEM
  ibrav = 0, nat = 4, ntyp = 2
/
ATOMIC_SPECIES
Cu 63.55 Cu.upf
Ag 107.87 Ag.upf
CELL_PARAMETERS angstrom
1.3478 0.7781 8.6394
-1.3478 0.7781 8.6394
0.0000 -1.5563 8.6394
ATOMIC_POSITIONS angstrom
Cu 0.0000 0.0000 0.0000
Cu 0.0000 0.0000 6.6162
Cu 0.0000 0.0000 19.3020
Ag 0.0000 0.0000 12.9591
```


[3]
# KSnAuSe3

Crystalline KSnAuSe3 at its relaxed geometry (PBE, OQMD via LeMat-Bulk). Values from VASP.

## Properties
- Energy above the most stable polymorph in this dataset: 0 meV/atom

Structure (Quantum ESPRESSO input):
```
&SYSTEM
  ibrav = 0, nat = 24, ntyp = 4
/
ATOMIC_SPECIES
Sn 118.71 Sn.upf
Au 196.97 Au.upf
K 39.10 K.upf
Se 78.96 Se.upf
CELL_PARAMETERS angstrom
11.3734 0.0000 0.0000
0.0000 4.2191 0.0000
0.0000 0.0000 14.0940
ATOMIC_POSITIONS angstrom
Sn 7.3543 0.0000 13.6843
Sn 9.7058 0.0000 6.6372
Sn 4.0191 2.1096 0.4098
Sn 1.6676 2.1096 7.4568
Au 8.4241 2.1096 10.0914
Au 8.6359 2.1096 3.0444
Au 2.9493 0.0000 4.0026
Au 2.7374 0.0000 11.0496
K 0.1039 2.1096 11.8242
K 5.7905 0.0000 9.3168
K 5.5828 2.1096 4.7772
K 11.2695 0.0000 2.2698
Se 2.3999 0.0000 13.5329
Se 3.2868 0.0000 6.4859
Se 5.8148 2.1096 12.4916
Se 8.8637 0.0000 11.4784
Se 8.9735 2.1096 0.5612
Se 0.1281 0.0000 8.6494
Se 8.0866 2.1096 7.6082
Se 3.1770 2.1096 9.6627
Se 2.5097 2.1096 2.6156
Se 11.2453 2.1096 5.4446
Se 5.5586 0.0000 1.6024
Se 8.1964 0.0000 4.4314
```


[4]
# InNi3Sn5

Crystalline InNi3Sn5 at its relaxed geometry (PBE, OQMD via LeMat-Bulk). Values from VASP.

## Properties
- M_tot: 0.01 μB per cell
- E_tot: -40.48 eV/cell

Structure (Quantum ESPRESSO input):
```
&SYSTEM
  ibrav = 0, nat = 9, ntyp = 3
/
ATOMIC_SPECIES
Ni 58.69 Ni.upf
Sn 118.71 Sn.upf
In 114.82 In.upf
CELL_PARAMETERS angstrom
-0.6068 3.2000 -4.1065
-3.4157 -3.8905 0.8180
-4.4734 4.8631 4.4506
ATOMIC_POSITIONS angstrom
Ni -3.9445 0.4863 2.6343
Ni -2.5401 4.0316 0.1720
Ni -4.2479 2.0863 0.5810
Sn -5.0434 4.6418 1.0174
Sn -5.9797 2.2783 2.6589
Sn -2.2367 2.4316 2.2253
Sn -3.4525 -0.4691 0.1446
Sn -2.5162 1.8944 -1.4969
In 0.0000 0.0000 0.0000
```


[5]
# CdGa2As

Crystalline CdGa2As at its relaxed geometry (PBE, OQMD via LeMat-Bulk). Values from VASP.

## Properties
- E_tot: -11.09 eV/cell

Structure (Quantum ESPRESSO input):
```
&SYSTEM
  ibrav = 0, nat = 4, ntyp = 3
/
ATOMIC_SPECIES
Ga 69.72 Ga.upf
As 74.92 As.upf
Cd 112.41 Cd.upf
CELL_PARAMETERS angstrom
0.0000 3.4569 3.4569
3.4569 0.0000 3.4569
3.4569 3.4569 0.0000
ATOMIC_POSITIONS angstrom
Ga 5.1854 5.1854 5.1854
Ga 0.0000 0.0000 0.0000
As 3.4569 3.4569 3.4569
Cd 1.7285 1.7285 1.7285
```


[6]
# CuAg3

Crystalline CuAg3 at its relaxed geometry (PBE, OQMD via LeMat-Bulk). Values from VASP.

## Properties
- E_form: 0.05 eV/atom

Structure (Quantum ESPRESSO input):
```
&SYSTEM
  ibrav = 0, nat = 8, ntyp = 2
/
ATOMIC_SPECIES
Cu 63.55 Cu.upf
Ag 107.87 Ag.upf
CELL_PARAMETERS angstrom
2.8843 0.0000 0.0000
0.0000 2.8843 0.0000
0.0000 0.0000 15.7390
ATOMIC_POSITIONS angstrom
Cu 0.0000 0.0000 6.0552
Cu 0.0000 0.0000 9.6838
Ag 0.0000 0.0000 13.6174
Ag 1.4422 1.4422 0.0000
Ag 1.4422 1.4422 7.8695
Ag 0.0000 0.0000 2.1216
Ag 1.4422 1.4422 11.4882
Ag 1.4422 1.4422 4.2507
```


[7]
# NbSiNi

Crystalline NbSiNi at its relaxed geometry (PBE, OQMD via LeMat-Bulk). Values from VASP.

## Properties
- M_tot: 0.00 μB per cell
- E_tot: -93.08 eV/cell

Structure (Quantum ESPRESSO input):
```
&SYSTEM
  ibrav = 0, nat = 12, ntyp = 3
/
ATOMIC_SPECIES
Si 28.09 Si.upf
Ni 58.69 Ni.upf
Nb 92.91 Nb.upf
CELL_PARAMETERS angstrom
-1.8986 1.6673 5.7084
-3.3191 -1.4731 -0.6737
2.2422 -6.2247 2.5639
ATOMIC_POSITIONS angstrom
Si -2.5883 -3.6426 5.5313
Si -1.9341 0.1046 4.2382
Si -0.3873 -2.3878 2.0672
Si -1.0415 -6.1351 3.3604
Ni -1.4683 -1.6478 5.7752
Ni -1.5072 -4.3827 1.8233
Ni -1.3371 -0.2104 1.9856
Ni -1.6385 -5.8201 5.6129
Nb -0.8453 -3.8605 7.5439
Nb -0.2270 -3.7753 4.3113
Nb -2.1303 -2.1700 0.0546
Nb -2.7486 -2.2552 3.2873
```


[8]
# NbTlCu

Crystalline NbTlCu at its relaxed geometry (PBE, OQMD via LeMat-Bulk). Values from VASP.

## Properties
- M_tot: 0.78 μB per cell
- E_tot: -13.36 eV/cell

Structure (Quantum ESPRESSO input):
```
&SYSTEM
  ibrav = 0, nat = 3, ntyp = 3
/
ATOMIC_SPECIES
Nb 92.91 Nb.upf
Tl 204.38 Tl.upf
Cu 63.55 Cu.upf
CELL_PARAMETERS angstrom
0.0000 3.1637 3.1637
3.1637 0.0000 3.1637
3.1637 3.1637 0.0000
ATOMIC_POSITIONS angstrom
Nb 4.7455 4.7455 4.7455
Tl 0.0000 0.0000 0.0000
Cu 1.5818 1.5818 1.5818
```